A relaxed structure of ScAlNiPd, computed with GGA-PBE.

Lattice parameters (Å, degrees): 4.4067 4.4067 4.4067 60.00 60.00 60.00
Last column: nearest neighbours and their distance in Å.
Atoms (fractional coordinates):
Sc: 0.5000 0.5000 0.5000  4 Ni 2.70, 4 Pd 2.70
Ni: 0.7500 0.7500 0.7500  4 Sc 2.70, 4 Al 2.70
Pd: 0.2500 0.2500 0.2500  4 Sc 2.70, 4 Al 2.70
Al: 0.0000 0.0000 0.0000  4 Ni 2.70, 4 Pd 2.70

Output
For the energy relative to the lowest polymorph listed for this composition, the calculation gives 0.00 eV per formula unit. As for the total energy: -5.975 eV per atom. The crystal system is cubic. Its magnetic moment is 0.00 μB/f.u. As for the space group: F-43m.

A relaxed structure of UTaIr, computed with GGA-PBE.

Lattice parameters (Å, degrees): 4.4955 4.4955 4.4955 60.00 60.00 60.00
Last column: nearest neighbours and their distance in Å.
Atoms (fractional coordinates):
Ta: 0.7500 0.7500 0.7500  4 U 2.75
U: 0.0000 0.0000 0.0000  4 Ta 2.75, 4 Ir 2.75
Ir: 0.2500 0.2500 0.2500  4 U 2.75

Output
For the energy relative to the lowest polymorph listed for this composition, the calculation gives 1.15 eV per formula unit. As for the total energy: -10.059 eV per atom. The crystal system is cubic. Its magnetic moment is 0.40 μB/f.u. As for the space group: F-43m.

A relaxed structure of RbGdSO, computed with GGA-PBE.

Lattice parameters (Å, degrees): 4.1816 4.1816 9.9351 90.00 90.00 90.00
Last column: nearest neighbours and their distance in Å.
Atoms (fractional coordinates):
Gd: 0.2500 0.2500 0.0991  4 O 2.31
Gd: 0.7500 0.7500 0.9009  4 O 2.31
O: 0.2500 0.7500 0.0000  4 Gd 2.31
O: 0.7500 0.2500 0.0000  4 Gd 2.31
S: 0.7500 0.7500 0.2673  4 Rb 3.12, 4 O 3.38, 4 Gd 3.40
S: 0.2500 0.2500 0.7327  4 Rb 3.12, 4 O 3.38, 4 Gd 3.40
Rb: 0.2500 0.7500 0.5000  4 Rb 2.96, 4 S 3.12
Rb: 0.7500 0.2500 0.5000  4 Rb 2.96, 4 S 3.12

Output
For the energy relative to the lowest polymorph listed for this composition, the calculation gives 1.32 eV per formula unit. As for the total energy: -5.607 eV per atom. The crystal system is tetragonal. Its magnetic moment is 0.00 μB/f.u. As for the space group: P4/nmm.